No. 1
Density functional theory data (PBE) for CaTbLuAl after structural relaxation.

Properties
DFT formation energy, meV per atom: -28
Space-group type: No. 216

Cell: 5.3506 5.3506 5.3506 Å, 60.00 60.00 60.00°
Fractional coordinates of all 4 atoms:
Ca 0.7500 0.7500 0.7500
Lu 0.5000 0.5000 0.5000
Tb 0.0000 0.0000 0.0000
Al 0.2500 0.2500 0.2500


No. 2
Density functional theory data (PBE) for CsTl3Os after structural relaxation.

Properties
DFT formation energy, meV per atom: 186
Space-group type: No. 221
Energy relative to the lowest polymorph listed for this composition, meV/atom: 0

Cell: 5.4236 5.4236 5.4236 Å, 90.00 90.00 90.00°
Fractional coordinates of all 5 atoms:
Cs 0.5000 0.5000 0.5000
Tl 0.0000 0.5000 0.0000
Tl 0.0000 0.0000 0.5000
Tl 0.5000 0.0000 0.0000
Os 0.0000 0.0000 0.0000


No. 3
Density functional theory data (PBE) for ZrHgSe2 after structural relaxation.

Properties
Space-group type: No. 123
ΔE_f (raw), eV per atom: -0.371
Energy relative to the lowest polymorph listed for this composition, meV/atom: 620

Cell: 3.5383 4.8555 4.8555 Å, 90.00 90.00 90.00°
Fractional coordinates of all 4 atoms:
Hg 0.5000 0.0000 0.5000
Se 0.0000 0.0000 0.0000
Se 0.0000 0.5000 0.5000
Zr 0.5000 0.5000 0.0000